# UFeH | Alexandria via LeMat-Bulk | GGA-PBE | relaxed
data_UFeH
_space_group_name_H-M_alt 'I 4 m m'
_space_group_IT_number 107
_space_group_name_Hall 'I 4 -2'
_cell_length_a 2.7444
_cell_length_b 2.7444
_cell_length_c 8.9370
_cell_angle_alpha 90.00
_cell_angle_beta 90.00
_cell_angle_gamma 90.00
loop_
_atom_site_label
_atom_site_type_symbol
_atom_site_fract_x
_atom_site_fract_y
_atom_site_fract_z
U1 U 0.0000 0.0000 0.0000
Fe1 Fe 0.0000 0.0000 0.2462
H1 H 0.0000 0.0000 0.7463
# - Crystal system: tetragonal
# - Calculated total energy: -45.2 eV/cell